The following is a GGA-PBE calculation of a relaxed ZnHg2Ir crystal, from the Alexandria database.

Values from the calculation:
Formation energy from the elements in eV/atom: 0.243

a = 5.5741 Å, b = 5.5741 Å, c = 4.7686 Å
α = 72.39°, β = 72.39°, γ = 31.78°
Fractional coordinates of all 4 atoms:
Hg  0.9853  0.9853  0.0484
Hg  0.7769  0.7769  0.6877
Ir  0.5249  0.5249  0.5288
Zn  0.2129  0.2129  0.2351

The following is a GGA-PBE calculation of a relaxed NbReSnRu crystal, from the Alexandria database.

Values from the calculation:
Formation energy from the elements in eV/atom: -0.092

a = 4.5471 Å, b = 4.5471 Å, c = 4.5471 Å
α = 60.00°, β = 60.00°, γ = 60.00°
Fractional coordinates of all 4 atoms:
Re  0.2500  0.2500  0.2500
Nb  0.0000  0.0000  0.0000
Sn  0.5000  0.5000  0.5000
Ru  0.7500  0.7500  0.7500

The following is a GGA-PBE calculation of a relaxed KSbAs3 crystal, from the Alexandria database.

Values from the calculation:
Uncorrected formation energy in eV/atom: 1.544

a = 5.3569 Å, b = 5.3569 Å, c = 5.3569 Å
α = 90.00°, β = 90.00°, γ = 90.00°
Fractional coordinates of all 5 atoms:
Sb  0.5000  0.5000  0.5000
As  0.0000  0.5000  0.0000
As  0.0000  0.0000  0.5000
As  0.5000  0.0000  0.0000
K  0.0000  0.0000  0.0000

The following is a GGA-PBE calculation of a relaxed Sc3TiPd4 crystal, from the Alexandria database.

Values from the calculation:
Formation energy from the elements in eV/atom: -0.778

a = 4.6491 Å, b = 4.6492 Å, c = 7.2979 Å
α = 108.53°, β = 108.57°, γ = 90.00°
Fractional coordinates of all 8 atoms:
Sc  0.0000  0.5000  0.0000
Sc  0.7474  0.2474  0.4949
Sc  0.2526  0.7526  0.5051
Pd  0.3803  0.3802  0.7607
Pd  0.6197  0.6198  0.2393
Pd  0.1196  0.1195  0.2393
Pd  0.8804  0.8805  0.7607
Ti  0.5000  0.0000  0.0000

The following is a GGA-PBE calculation of a relaxed NbTl2TeO6 crystal, from the Alexandria database.

Values from the calculation:
Uncorrected formation energy in eV/atom: -1.321

a = 5.8704 Å, b = 5.8704 Å, c = 5.8709 Å
α = 60.01°, β = 60.01°, γ = 90.03°
Fractional coordinates of all 10 atoms:
Nb  0.0000  0.0000  0.0000
Tl  0.7500  0.2500  0.5000
Tl  0.2500  0.7500  0.5000
Te  0.5000  0.5000  0.0000
O  0.2461  0.2461  0.5088
O  0.7540  0.7539  0.0010
O  0.2455  0.7546  0.0000
O  0.7545  0.2454  0.0000
O  0.2460  0.2460  0.9990
O  0.7539  0.7539  0.4912

The following is a GGA-PBE calculation of a relaxed AcDyGe2Pt2 crystal, from the Alexandria database.

Values from the calculation:
Formation energy from the elements in eV/atom: -1.070

a = 4.4932 Å, b = 4.4932 Å, c = 7.5995 Å
α = 90.00°, β = 90.00°, γ = 120.00°
Fractional coordinates of all 6 atoms:
Ac  0.0000  0.0000  0.0000
Dy  0.0000  0.0000  0.5000
Ge  0.6667  0.3333  0.7125
Ge  0.3333  0.6667  0.2875
Pt  0.6667  0.3333  0.2970
Pt  0.3333  0.6667  0.7030

The following is a GGA-PBE calculation of a relaxed ZnAsIr2 crystal, from the Alexandria database.

Values from the calculation:
Formation energy from the elements in eV/atom: 0.157

a = 5.1423 Å, b = 5.1423 Å, c = 5.1423 Å
α = 147.00°, β = 123.38°, γ = 67.12°
Fractional coordinates of all 4 atoms:
As  0.2500  0.7500  0.5000
Ir  0.0073  0.0073  0.0000
Ir  0.4927  0.4927  0.0000
Zn  0.7500  0.2500  0.5000

The following is a GGA-PBE calculation of a relaxed LiMg crystal, from the Alexandria database.

Values from the calculation:
Formation energy from the elements in eV/atom: 0.101

a = 10.3313 Å, b = 10.3313 Å, c = 3.0563 Å
α = 90.00°, β = 90.00°, γ = 120.00°
Fractional coordinates of all 12 atoms:
Li  0.7683  0.0569  0.2500
Li  0.7114  0.7683  0.7500
Li  0.9431  0.7114  0.2500
Li  0.2317  0.9431  0.7500
Li  0.2886  0.2317  0.2500
Li  0.0569  0.2886  0.7500
Mg  0.8565  0.3798  0.2500
Mg  0.4767  0.8565  0.7500
Mg  0.6202  0.4767  0.2500
Mg  0.1435  0.6202  0.7500
Mg  0.5233  0.1435  0.2500
Mg  0.3798  0.5233  0.7500

The following is a GGA-PBE calculation of a relaxed CdSb2TeF crystal, from the Alexandria database.

Values from the calculation:
Uncorrected formation energy in eV/atom: 0.464

a = 5.5261 Å, b = 5.5261 Å, c = 5.5155 Å
α = 90.00°, β = 90.00°, γ = 90.00°
Fractional coordinates of all 5 atoms:
Sb  0.0000  0.5000  0.0000
Sb  0.5000  0.0000  0.0000
F  0.5000  0.5000  0.5000
Te  0.0000  0.0000  0.5000
Cd  0.0000  0.0000  0.0000

The following is a GGA-PBE calculation of a relaxed Cu2SCl2 crystal, from the Alexandria database.

Values from the calculation:
Uncorrected formation energy in eV/atom: -0.315

a = 3.8345 Å, b = 7.5896 Å, c = 7.6157 Å
α = 79.24°, β = 75.42°, γ = 75.37°
Fractional coordinates of all 10 atoms:
Cu  0.1900  0.2945  0.3256
Cu  0.8100  0.7055  0.6744
Cu  0.4896  0.2072  0.8136
Cu  0.5104  0.7928  0.1864
S  0.3927  0.1006  0.1139
S  0.6073  0.8994  0.8861
Cl  0.6442  0.2154  0.4962
Cl  0.3558  0.7846  0.5038
Cl  0.1166  0.5856  0.1811
Cl  0.8834  0.4144  0.8189

The following is a GGA-PBE calculation of a relaxed HfTiPd2 crystal, from the Alexandria database.

Values from the calculation:
Formation energy from the elements in eV/atom: -0.541

a = 4.6012 Å, b = 4.6012 Å, c = 4.6012 Å
α = 60.00°, β = 60.00°, γ = 60.00°
Fractional coordinates of all 4 atoms:
Hf  0.5000  0.5000  0.5000
Pd  0.2500  0.2500  0.2500
Pd  0.7500  0.7500  0.7500
Ti  0.0000  0.0000  0.0000

The following is a GGA-PBE calculation of a relaxed Li5Th4Pt6 crystal, from the Alexandria database.

Values from the calculation:
Formation energy from the elements in eV/atom: -0.835

a = 4.0500 Å, b = 10.4175 Å, c = 15.1498 Å
α = 90.00°, β = 90.00°, γ = 101.21°
Fractional coordinates of all 30 atoms:
Li  0.4314  0.8628  0.6731
Li  0.5686  0.1372  0.1731
Li  0.1562  0.3125  0.6285
Li  0.8438  0.6875  0.1285
Li  0.6440  0.2880  0.4980
Li  0.3560  0.7120  0.9980
Li  0.3011  0.6022  0.6156
Li  0.6989  0.3978  0.1156
Li  0.3383  0.6765  0.2549
Li  0.6617  0.3235  0.7549
Th  0.9725  0.9450  0.2708
Th  0.0275  0.0550  0.7708
Th  0.1633  0.3266  0.3061
Th  0.8367  0.6734  0.8061
Th  0.8149  0.6298  0.4376
Th  0.1851  0.3702  0.9376
Th  0.0022  0.0044  0.5142
Th  0.9978  0.9956  0.0142
Pt  0.7602  0.5203  0.2628
Pt  0.4208  0.8416  0.4051
Pt  0.7795  0.5591  0.9816
Pt  0.2205  0.4409  0.4816
Pt  0.4388  0.8776  0.8602
Pt  0.5612  0.1224  0.3602
Pt  0.4393  0.8786  0.1335
Pt  0.5607  0.1214  0.6335
Pt  0.1206  0.2413  0.1136
Pt  0.8794  0.7587  0.6136
Pt  0.5792  0.1584  0.9051
Pt  0.2398  0.4797  0.7628

The following is a GGA-PBE calculation of a relaxed Pr6Cd2In crystal, from the Alexandria database.

Values from the calculation:
Formation energy from the elements in eV/atom: -0.230

a = 5.5952 Å, b = 5.5952 Å, c = 10.5479 Å
α = 90.00°, β = 90.00°, γ = 120.00°
Fractional coordinates of all 9 atoms:
Pr  0.6667  0.3333  0.9878
Pr  0.3333  0.6667  0.0122
Pr  0.0000  0.0000  0.1766
Pr  0.3333  0.6667  0.3859
Pr  0.0000  0.0000  0.8234
Pr  0.6667  0.3333  0.6141
Cd  0.3333  0.6667  0.7052
Cd  0.6667  0.3333  0.2948
In  0.0000  0.0000  0.5000

The following is a GGA-PBE calculation of a relaxed Ac3MgAl2Cu6 crystal, from the Alexandria database.

Values from the calculation:
Formation energy from the elements in eV/atom: -0.040

a = 6.0834 Å, b = 6.0834 Å, c = 8.5705 Å
α = 90.00°, β = 90.00°, γ = 120.00°
Fractional coordinates of all 12 atoms:
Ac  0.3333  0.6667  0.6442
Ac  0.6667  0.3333  0.3558
Ac  0.0000  0.0000  0.0000
Mg  0.0000  0.0000  0.5000
Al  0.6667  0.3333  0.9569
Al  0.3333  0.6667  0.0431
Cu  0.6096  0.8048  0.2864
Cu  0.1952  0.3904  0.2864
Cu  0.1952  0.8048  0.2864
Cu  0.8048  0.6096  0.7136
Cu  0.3904  0.1952  0.7136
Cu  0.8048  0.1952  0.7136

The following is a GGA-PBE calculation of a relaxed V2GeP2 crystal, from the Alexandria database.

Values from the calculation:
Formation energy from the elements in eV/atom: -0.329

a = 3.3474 Å, b = 3.3474 Å, c = 6.6388 Å
α = 75.40°, β = 75.40°, γ = 90.00°
Fractional coordinates of all 5 atoms:
P  0.7500  0.2500  0.5000
P  0.2500  0.7500  0.5000
Ge  0.0000  0.0000  0.0000
V  0.3894  0.3894  0.2213
V  0.6106  0.6106  0.7787

The following is a GGA-PBE calculation of a relaxed Mg2Zn3Ga2 crystal, from the Alexandria database.

Values from the calculation:
Formation energy from the elements in eV/atom: -0.047

a = 4.0763 Å, b = 5.1391 Å, c = 6.6974 Å
α = 98.09°, β = 90.00°, γ = 113.37°
Fractional coordinates of all 7 atoms:
Mg  0.6119  0.2238  0.3232
Mg  0.3881  0.7762  0.6768
Zn  0.2995  0.5990  0.1186
Zn  0.0000  0.0000  0.0000
Zn  0.7005  0.4010  0.8814
Ga  0.0997  0.1994  0.6558
Ga  0.9003  0.8006  0.3442

The following is a GGA-PBE calculation of a relaxed LaZnCr crystal, from the Alexandria database.

Values from the calculation:
Formation energy from the elements in eV/atom: 0.215

a = 6.0606 Å, b = 6.0614 Å, c = 3.4656 Å
α = 73.38°, β = 73.40°, γ = 33.22°
Fractional coordinates of all 3 atoms:
Cr  0.0318  0.0318  0.9682
La  0.3354  0.3354  0.6646
Zn  0.6327  0.6327  0.3673

The following is a GGA-PBE calculation of a relaxed OsRu2Pb crystal, from the Alexandria database.

Values from the calculation:
Formation energy from the elements in eV/atom: 0.485

a = 2.9143 Å, b = 2.9143 Å, c = 7.7049 Å
α = 90.00°, β = 90.00°, γ = 89.99°
Fractional coordinates of all 4 atoms:
Os  0.5000  0.5000  0.2500
Pb  0.5000  0.5000  0.7500
Ru  0.0000  0.0000  0.0266
Ru  0.0000  0.0000  0.4734

The following is a GGA-PBE calculation of a relaxed Pu3N2 crystal, from the Alexandria database.

Values from the calculation:
Uncorrected formation energy in eV/atom: -0.865

a = 6.0189 Å, b = 6.0189 Å, c = 6.6878 Å
α = 63.26°, β = 63.26°, γ = 60.00°
Fractional coordinates of all 10 atoms:
N  0.8388  0.8388  0.4837
N  0.3388  0.3388  0.9837
N  0.1612  0.1612  0.5163
N  0.6612  0.6612  0.0163
Pu  0.0756  0.7500  0.7500
Pu  0.7500  0.4244  0.7500
Pu  0.4244  0.0756  0.7500
Pu  0.2500  0.5756  0.2500
Pu  0.5756  0.9244  0.2500
Pu  0.9244  0.2500  0.2500

| no. | magnetization (μB per cell) |
| --- | --- |
| 1 | 0.0 |
| 2 | 0.0 |
| 3 | 0.0 |
| 4 | 0.0 |
| 5 | 0.0 |
| 6 | 0.0 |
| 7 | 0.0 |
| 8 | 0.0 |
| 9 | 0.0 |
| 10 | 0.0 |
| 11 | 0.0 |
| 12 | 0.0 |
| 13 | 0.0 |
| 14 | 0.0 |
| 15 | 0.5 |
| 16 | 0.0 |
| 17 | 3.4 |
| 18 | 0.0 |
| 19 | 32.7 |